1.
A relaxed Sm2Dy3Tm crystal, computed with PBE-GGA.

a = 5.980 Å, b = 12.235 Å, c = 12.235 Å
α = 46.56°, β = 42.91°, γ = 42.91°
Positions (direct):
Sm 0.648 0.584 0.150
Sm 0.852 0.850 0.416
Sm 0.148 0.150 0.584
Sm 0.352 0.416 0.850
Dy 0.750 0.609 0.391
Dy 0.250 0.391 0.609
Dy 0.945 0.853 0.685
Dy 0.555 0.315 0.147
Dy 0.055 0.147 0.315
Dy 0.445 0.685 0.853
Tm 0.500 0.000 0.000
Tm 0.000 0.000 0.000

Magnetic moment ... 0.00 μB per formula unit
Energy relative to the lowest polymorph listed for this composition ... 0.0976 eV per atom

2.
A relaxed Sm2DyTm9 crystal, computed with PBE-GGA.

a = 4.970 Å, b = 4.970 Å, c = 14.916 Å
α = 90.00°, β = 90.00°, γ = 90.00°
Positions (direct):
Sm 0.000 0.000 0.333
Sm 0.000 0.000 0.667
Dy 0.000 0.000 0.000
Tm 0.500 0.500 0.000
Tm 0.500 0.500 0.333
Tm 0.500 0.500 0.667
Tm 0.500 0.000 0.165
Tm 0.500 0.000 0.500
Tm 0.500 0.000 0.835
Tm 0.000 0.500 0.165
Tm 0.000 0.500 0.500
Tm 0.000 0.500 0.835

Magnetic moment ... 0.00 μB per formula unit
Energy relative to the lowest polymorph listed for this composition ... 0.0000 eV per atom

3.
A relaxed Sm6Dy2Tm5 crystal, computed with PBE-GGA.

a = 3.593 Å, b = 11.637 Å, c = 20.256 Å
α = 90.00°, β = 90.00°, γ = 90.00°
Positions (direct):
Sm 0.000 0.083 0.366
Sm 0.000 0.917 0.634
Sm 0.000 0.583 0.134
Sm 0.000 0.417 0.866
Sm 0.500 0.327 0.132
Sm 0.500 0.673 0.868
Sm 0.500 0.827 0.368
Sm 0.500 0.173 0.632
Sm 0.000 0.559 0.420
Sm 0.000 0.441 0.580
Sm 0.000 0.059 0.080
Sm 0.000 0.941 0.920
Dy 0.000 0.335 0.288
Dy 0.000 0.665 0.712
Dy 0.000 0.835 0.212
Dy 0.000 0.165 0.788
Tm 0.500 0.301 0.445
Tm 0.500 0.699 0.555
Tm 0.500 0.801 0.055
Tm 0.500 0.199 0.945
Tm 0.500 0.594 0.275
Tm 0.500 0.406 0.725
Tm 0.500 0.094 0.225
Tm 0.500 0.906 0.775
Tm 0.500 0.500 0.000
Tm 0.500 0.000 0.500

Magnetic moment ... 0.00 μB per formula unit
Calculated total energy ... -4.503 eV per atom

4.
A relaxed SmDy3Tm4 crystal, computed with PBE-GGA.

a = 6.236 Å, b = 7.216 Å, c = 11.171 Å
α = 90.00°, β = 90.00°, γ = 90.00°
Positions (direct):
Sm 0.147 0.374 0.000
Sm 0.647 0.626 0.500
Dy 0.647 0.627 0.000
Dy 0.981 0.627 0.250
Dy 0.481 0.373 0.250
Dy 0.147 0.373 0.500
Dy 0.481 0.373 0.750
Dy 0.981 0.627 0.750
Tm 0.148 0.877 0.000
Tm 0.648 0.123 0.000
Tm 0.981 0.123 0.251
Tm 0.481 0.877 0.249
Tm 0.148 0.877 0.500
Tm 0.648 0.123 0.500
Tm 0.481 0.877 0.751
Tm 0.981 0.123 0.749

Magnetic moment ... 0.00 μB per formula unit
Energy relative to the lowest polymorph listed for this composition ... 0.0000 eV per atom